Entry 1:
# PmPuPaTl

An optimized crystal structure of PmPuPaTl (GGA-PBE, Alexandria).

## Properties
Its formation enthalpy at 0 K is 222 meV/atom. Its volume is 26.95 Å³/atom.

The structure in CIF format:
```
data_PmPuPaTl
_chemical_formula_sum 'Pm4 Pu4 Pa4 Tl4'
_cell_length_a 7.5549
_cell_length_b 7.5549
_cell_length_c 7.5549
_cell_angle_alpha 90.00
_cell_angle_beta 90.00
_cell_angle_gamma 90.00
_symmetry_space_group_name_H-M 'F -4 3 m'
_symmetry_Int_Tables_number 216
_symmetry_space_group_name_Hall 'F -4 2 3'
loop_
_atom_site_label
_atom_site_fract_x
_atom_site_fract_y
_atom_site_fract_z
_atom_site_occupancy
Pm1 0.0000 0.0000 0.0000 1
Pu1 0.0000 0.0000 0.5000 1
Pa1 0.2500 0.2500 0.2500 1
Tl1 0.2500 0.2500 0.7500 1
```



Entry 2:
# RbPm2Pa

An optimized crystal structure of RbPm2Pa (GGA-PBE, Alexandria).

## Properties
Its formation enthalpy at 0 K is 990 meV/atom. Its volume is 44.86 Å³/atom.

The structure in CIF format:
```
data_RbPm2Pa
_chemical_formula_sum 'Rb3 Pm6 Pa3'
_cell_length_a 4.3500
_cell_length_b 4.3500
_cell_length_c 32.8503
_cell_angle_alpha 90.00
_cell_angle_beta 90.00
_cell_angle_gamma 120.00
_symmetry_space_group_name_H-M 'R -3 m'
_symmetry_Int_Tables_number 166
_symmetry_space_group_name_Hall '-R 3 2"'
loop_
_atom_site_label
_atom_site_fract_x
_atom_site_fract_y
_atom_site_fract_z
_atom_site_occupancy
Rb1 0.0000 0.0000 0.0000 1
Pm1 0.0000 0.0000 0.1183 1
Pa1 0.0000 0.0000 0.5000 1
```



Entry 3:
# Rb2Pm2PaS6

An optimized crystal structure of Rb2Pm2PaS6 (GGA-PBE, Alexandria).

## Properties
The value obtained for the total energy is -5.945 eV/atom. Its volume is 31.59 Å³/atom.

The structure in CIF format:
```
data_Rb2Pm2PaS6
_chemical_formula_sum 'Rb4 Pm4 Pa2 S12'
_cell_length_a 7.1624
_cell_length_b 12.3319
_cell_length_c 8.2318
_cell_angle_alpha 90.00
_cell_angle_beta 107.08
_cell_angle_gamma 90.00
_symmetry_space_group_name_H-M 'C 1 2/m 1'
_symmetry_Int_Tables_number 12
loop_
_symmetry_equiv_pos_as_xyz
'x,y,z'
'-x,-y,-z'
'-x,y,-z'
'x,-y,z'
'x+1/2,y+1/2,z'
'-x+1/2,-y+1/2,-z'
'-x+1/2,y+1/2,-z'
'x+1/2,-y+1/2,z'
loop_
_atom_site_label
_atom_site_fract_x
_atom_site_fract_y
_atom_site_fract_z
_atom_site_occupancy
Rb1 0.0000 0.1692 0.0000 1
Pm1 0.0000 0.3340 0.5000 1
Pa1 0.0000 0.0000 0.5000 1
S1 0.2238 0.1620 0.6888 1
S2 0.2448 0.5000 0.6887 1
```



Entry 4:
# Rb3Pm3PaS8

An optimized crystal structure of Rb3Pm3PaS8 (GGA-PBE, Alexandria).

## Properties
The value obtained for the total energy is -5.778 eV/atom. Its volume is 31.16 Å³/atom.

The structure in CIF format:
```
data_Rb3Pm3PaS8
_chemical_formula_sum 'Rb9 Pm9 Pa3 S24'
_cell_length_a 8.3051
_cell_length_b 8.3051
_cell_length_c 23.4725
_cell_angle_alpha 90.00
_cell_angle_beta 90.00
_cell_angle_gamma 120.00
_symmetry_space_group_name_H-M 'R -3 m'
_symmetry_Int_Tables_number 166
_symmetry_space_group_name_Hall '-R 3 2"'
loop_
_atom_site_label
_atom_site_fract_x
_atom_site_fract_y
_atom_site_fract_z
_atom_site_occupancy
Rb1 0.0000 0.5000 0.0000 1
Pm1 0.0000 0.5000 0.5000 1
Pa1 0.0000 0.0000 0.5000 1
S1 0.0000 0.0000 0.2317 1
S2 0.0113 0.5056 0.2293 1
```



Entry 5:
# RbPmPaS4

An optimized crystal structure of RbPmPaS4 (GGA-PBE, Alexandria).

## Properties
The value obtained for the total energy is -6.208 eV/atom. Its volume is 31.91 Å³/atom.

The structure in CIF format:
```
data_RbPmPaS4
_chemical_formula_sum 'Rb4 Pm4 Pa4 S16'
_cell_length_a 8.4710
_cell_length_b 8.6899
_cell_length_c 12.1379
_cell_angle_alpha 90.00
_cell_angle_beta 90.00
_cell_angle_gamma 90.00
_symmetry_space_group_name_H-M 'I m m a'
_symmetry_Int_Tables_number 74
_symmetry_space_group_name_Hall '-I 2b 2'
loop_
_atom_site_label
_atom_site_fract_x
_atom_site_fract_y
_atom_site_fract_z
_atom_site_occupancy
Rb1 0.0000 0.2500 0.1284 1
Pm1 0.0000 0.0000 0.5000 1
Pa1 0.2500 0.2500 0.7500 1
S1 0.0000 0.0482 0.7335 1
S2 0.2147 0.2500 0.5274 1
```



Entry 6:
# Rb3PmPa3Se8

An optimized crystal structure of Rb3PmPa3Se8 (GGA-PBE, Alexandria).

## Properties
The value obtained for the total energy is -5.702 eV/atom. Its volume is 33.44 Å³/atom.

The structure in CIF format:
```
data_Rb3PmPa3Se8
_chemical_formula_sum 'Rb9 Pm3 Pa9 Se24'
_cell_length_a 8.3893
_cell_length_b 8.3893
_cell_length_c 24.6859
_cell_angle_alpha 90.00
_cell_angle_beta 90.00
_cell_angle_gamma 120.00
_symmetry_space_group_name_H-M 'R -3 m'
_symmetry_Int_Tables_number 166
_symmetry_space_group_name_Hall '-R 3 2"'
loop_
_atom_site_label
_atom_site_fract_x
_atom_site_fract_y
_atom_site_fract_z
_atom_site_occupancy
Rb1 0.0000 0.5000 0.0000 1
Pm1 0.0000 0.0000 0.5000 1
Pa1 0.0000 0.5000 0.5000 1
Se1 0.0000 0.0000 0.2334 1
Se2 0.0083 0.5042 0.7672 1
```



Entry 7:
# Rb4Pm3PaSe8

An optimized crystal structure of Rb4Pm3PaSe8 (GGA-PBE, Alexandria).

## Properties
The value obtained for the total energy is -5.083 eV/atom. Its volume is 32.51 Å³/atom.

The structure in CIF format:
```
data_Rb4Pm3PaSe8
_chemical_formula_sum 'Rb12 Pm9 Pa3 Se24'
_cell_length_a 8.6451
_cell_length_b 8.6451
_cell_length_c 24.1073
_cell_angle_alpha 90.00
_cell_angle_beta 90.00
_cell_angle_gamma 120.00
_symmetry_space_group_name_H-M 'R -3 m'
_symmetry_Int_Tables_number 166
_symmetry_space_group_name_Hall '-R 3 2"'
loop_
_atom_site_label
_atom_site_fract_x
_atom_site_fract_y
_atom_site_fract_z
_atom_site_occupancy
Rb1 0.0000 0.0000 0.0000 1
Rb2 0.0000 0.5000 0.0000 1
Pm1 0.0000 0.5000 0.5000 1
Pa1 0.0000 0.0000 0.5000 1
Se1 0.0000 0.0000 0.2340 1
Se2 0.0064 0.5032 0.2334 1
```



Entry 8:
# Rb2Pm2PaSe6

An optimized crystal structure of Rb2Pm2PaSe6 (GGA-PBE, Alexandria).

## Properties
The value obtained for the total energy is -5.456 eV/atom. Its volume is 35.34 Å³/atom.

The structure in CIF format:
```
data_Rb2Pm2PaSe6
_chemical_formula_sum 'Rb4 Pm4 Pa2 Se12'
_cell_length_a 7.4176
_cell_length_b 12.7847
_cell_length_c 8.5767
_cell_angle_alpha 90.00
_cell_angle_beta 107.06
_cell_angle_gamma 90.00
_symmetry_space_group_name_H-M 'C 1 2/m 1'
_symmetry_Int_Tables_number 12
loop_
_symmetry_equiv_pos_as_xyz
'x,y,z'
'-x,-y,-z'
'-x,y,-z'
'x,-y,z'
'x+1/2,y+1/2,z'
'-x+1/2,-y+1/2,-z'
'-x+1/2,y+1/2,-z'
'x+1/2,-y+1/2,z'
loop_
_atom_site_label
_atom_site_fract_x
_atom_site_fract_y
_atom_site_fract_z
_atom_site_occupancy
Rb1 0.0000 0.1692 0.0000 1
Pm1 0.0000 0.3336 0.5000 1
Pa1 0.0000 0.0000 0.5000 1
Se1 0.2275 0.1622 0.6942 1
Se2 0.2435 0.5000 0.6937 1
```



Entry 9:
# Rb3Pm3PaSe8

An optimized crystal structure of Rb3Pm3PaSe8 (GGA-PBE, Alexandria).

## Properties
The value obtained for the total energy is -5.309 eV/atom. Its volume is 34.83 Å³/atom.

The structure in CIF format:
```
data_Rb3Pm3PaSe8
_chemical_formula_sum 'Rb9 Pm9 Pa3 Se24'
_cell_length_a 8.6064
_cell_length_b 8.6064
_cell_length_c 24.4314
_cell_angle_alpha 90.00
_cell_angle_beta 90.00
_cell_angle_gamma 120.00
_symmetry_space_group_name_H-M 'R -3 m'
_symmetry_Int_Tables_number 166
_symmetry_space_group_name_Hall '-R 3 2"'
loop_
_atom_site_label
_atom_site_fract_x
_atom_site_fract_y
_atom_site_fract_z
_atom_site_occupancy
Rb1 0.0000 0.5000 0.0000 1
Pm1 0.0000 0.5000 0.5000 1
Pa1 0.0000 0.0000 0.5000 1
Se1 0.0000 0.0000 0.2330 1
Se2 0.0086 0.5043 0.2311 1
```



Entry 10:
# RbPmPaSe4

An optimized crystal structure of RbPmPaSe4 (GGA-PBE, Alexandria).

## Properties
The value obtained for the total energy is -5.666 eV/atom. Its volume is 36.34 Å³/atom.

The structure in CIF format:
```
data_RbPmPaSe4
_chemical_formula_sum 'Rb4 Pm4 Pa4 Se16'
_cell_length_a 8.9041
_cell_length_b 9.0688
_cell_length_c 12.5993
_cell_angle_alpha 90.00
_cell_angle_beta 90.00
_cell_angle_gamma 90.00
_symmetry_space_group_name_H-M 'I m m a'
_symmetry_Int_Tables_number 74
_symmetry_space_group_name_Hall '-I 2b 2'
loop_
_atom_site_label
_atom_site_fract_x
_atom_site_fract_y
_atom_site_fract_z
_atom_site_occupancy
Rb1 0.0000 0.2500 0.1270 1
Pm1 0.0000 0.0000 0.5000 1
Pa1 0.2500 0.2500 0.7500 1
Se1 0.0000 0.0460 0.7353 1
Se2 0.2141 0.2500 0.5242 1
```



Entry 11:
# Rb3Pm2PaTe6

An optimized crystal structure of Rb3Pm2PaTe6 (GGA-PBE, Alexandria).

## Properties
The value obtained for the total energy is -4.623 eV/atom. Its volume is 39.00 Å³/atom.

The structure in CIF format:
```
data_Rb3Pm2PaTe6
_chemical_formula_sum 'Rb6 Pm4 Pa2 Te12'
_cell_length_a 7.9138
_cell_length_b 13.7059
_cell_length_c 9.0242
_cell_angle_alpha 90.00
_cell_angle_beta 106.99
_cell_angle_gamma 90.00
_symmetry_space_group_name_H-M 'C 1 2/m 1'
_symmetry_Int_Tables_number 12
loop_
_symmetry_equiv_pos_as_xyz
'x,y,z'
'-x,-y,-z'
'-x,y,-z'
'x,-y,z'
'x+1/2,y+1/2,z'
'-x+1/2,-y+1/2,-z'
'-x+1/2,y+1/2,-z'
'x+1/2,-y+1/2,z'
loop_
_atom_site_label
_atom_site_fract_x
_atom_site_fract_y
_atom_site_fract_z
_atom_site_occupancy
Rb1 0.0000 0.0000 0.0000 1
Rb2 0.0000 0.3313 0.0000 1
Pm1 0.0000 0.1664 0.5000 1
Pa1 0.0000 0.5000 0.5000 1
Te1 0.2321 0.3360 0.7046 1
Te2 0.2407 0.0000 0.7053 1
```